The following is a PBE calculation of crystalline Al2NiTe at its relaxed geometry, from Alexandria via LeMat-Bulk. Values from VASP.

Total DFT energy (no corrections) ... -4.15 eV per atom
Density ... 5.149 g/cm³
N(E_F) ... 1.75 states/eV/f.u.
M_tot ... 0.0 μB/f.u.
E_form (uncorrected) ... -46 meV/atom

Cell and atoms, written as Quantum ESPRESSO input:
```
&SYSTEM
  ibrav = 0, nat = 12, ntyp = 3
/
ATOMIC_SPECIES
Al 26.98 Al.upf
Ni 58.69 Ni.upf
Te 127.60 Te.upf
CELL_PARAMETERS angstrom
3.989 0.000 0.000
-1.995 3.455 0.000
0.000 0.000 16.865
ATOMIC_POSITIONS crystal
Al 0.000 0.000 0.000
Al 0.000 0.000 0.251
Al 0.333 0.667 0.667
Al 0.333 0.667 0.917
Al 0.667 0.333 0.333
Al 0.667 0.333 0.584
Ni 0.000 0.000 0.551
Ni 0.333 0.667 0.218
Ni 0.667 0.333 0.885
Te 0.000 0.000 0.799
Te 0.333 0.667 0.466
Te 0.667 0.333 0.132
```